No. 1
Compound: TaHgS2
Source: Alexandria via LeMat-Bulk
Functional: GGA-PBE
Structure: optimized geometry

The structure in POSCAR format:
```
TaHgS2
1.0
3.6890 0.0000 0.0000
0.0000 3.6890 0.0000
0.0000 0.0000 5.5482
Ta S Hg
1 2 1
direct
0.0000 0.0000 0.5000
0.5000 0.5000 0.5000
0.0000 0.0000 0.0000
0.5000 0.5000 0.0000
```

Results
- ΔE_f (raw): 0.17 eV per atom
- Space group: P4/mmm (123)
- Fermi-level density of states: 3.5 states/eV per cell

***

No. 2
Compound: TaHgS2
Source: Alexandria via LeMat-Bulk
Functional: GGA-PBE
Structure: optimized geometry

The structure in POSCAR format:
```
TaHgS2
1.0
-9.3851 -0.4596 0.0446
0.4600 -9.2243 1.7305
-4.4759 -4.2786 3.8942
S Hg Ta
4 2 2
direct
0.1344 0.6344 0.0000
0.6344 0.8656 0.0000
0.3656 0.1344 0.0000
0.8656 0.3656 0.0000
0.7500 0.7500 0.5000
0.2500 0.2500 0.5000
0.7500 0.2500 0.5000
0.2500 0.7500 0.5000
```

Results
- ΔE_f (raw): -0.49 eV per atom
- Space group: I4/mcm (140)
- Fermi-level density of states: 0.5 states/eV per cell

***

No. 3
Compound: Ta4Hg2S7
Source: Alexandria via LeMat-Bulk
Functional: GGA-PBE
Structure: optimized geometry

The structure in POSCAR format:
```
Ta4Hg2S7
1.0
-2.7638 -4.7524 2.8190
4.4446 3.1559 2.9078
-6.4741 5.8613 3.5341
Ta S Hg
4 7 2
direct
0.3333 0.6667 0.5000
0.6667 0.3333 0.5000
0.0000 0.0000 0.7536
0.0000 0.0000 0.2464
0.3420 0.0000 0.3453
0.0000 0.0000 0.0000
0.0000 0.6580 0.6547
0.0000 0.3420 0.3453
0.6580 0.6580 0.3453
0.6580 0.0000 0.6547
0.3420 0.3420 0.6547
0.6667 0.3333 0.0000
0.3333 0.6667 0.0000
```

Results
- ΔE_f (raw): -0.49 eV per atom
- Space group: P-31m (162)
- Fermi-level density of states: 7.0 states/eV per cell

***

No. 4
Compound: TaHgS2
Source: Alexandria via LeMat-Bulk
Functional: GGA-PBE
Structure: optimized geometry

The structure in POSCAR format:
```
TaHgS2
1.0
2.0809 0.0000 8.0747
-1.0405 1.8022 8.0747
-1.0405 -1.8022 8.0747
Ta Hg S
1 1 2
direct
0.0000 0.0000 0.0000
0.5000 0.5000 0.5000
0.0948 0.0948 0.0948
0.9052 0.9052 0.9052
```

Results
- ΔE_f (raw): 0.36 eV per atom
- Space group: R-3m (166)
- Fermi-level density of states: 2.1 states/eV per cell

***

No. 5
Compound: TaHgS2
Source: Alexandria via LeMat-Bulk
Functional: GGA-PBE
Structure: optimized geometry

The structure in POSCAR format:
```
TaHgS2
1.0
17.0252 0.0000 2.5462
0.0000 6.0441 0.0000
-5.1500 0.0000 3.5750
Hg S Ta
4 8 4
direct
0.7507 0.7529 0.8627
0.2493 0.2471 0.1373
0.2507 0.7471 0.3627
0.7493 0.2529 0.6373
0.5844 0.7711 0.1202
0.9167 0.7303 0.7844
0.9156 0.2711 0.3798
0.4156 0.2289 0.8798
0.4167 0.7697 0.2844
0.5833 0.2303 0.7156
0.0844 0.7289 0.6202
0.0833 0.2697 0.2156
0.5322 0.0006 0.3144
0.4678 0.9994 0.6856
0.9678 0.5006 0.1856
0.0322 0.4994 0.8144
```

Results
- ΔE_f (raw): -0.53 eV per atom
- Space group: P2_1/c (14)
- Fermi-level density of states: 2.2 states/eV per cell

***

No. 6
Compound: TaHgS2
Source: Alexandria via LeMat-Bulk
Functional: GGA-PBE
Structure: optimized geometry

The structure in POSCAR format:
```
TaHgS2
1.0
-6.3065 3.4993 -0.1769
-2.5277 -4.0697 9.6068
2.0316 3.7692 2.1313
Hg Ta S
4 4 8
direct
0.6035 0.0581 0.0625
0.3965 0.9419 0.5625
0.1035 0.4419 0.0625
0.8965 0.5581 0.5625
0.5428 0.3972 0.5624
0.4572 0.6028 0.0624
0.0428 0.1028 0.5624
0.9572 0.8972 0.0624
0.6255 0.4063 0.0624
0.7934 0.2283 0.5624
0.7066 0.7283 0.0624
0.8745 0.9063 0.5624
0.1255 0.0937 0.0624
0.2066 0.7717 0.0624
0.2934 0.2717 0.5624
0.3745 0.5937 0.5624
```

Results
- ΔE_f (raw): -0.50 eV per atom
- Space group: Pnma (62)
- Fermi-level density of states: 4.9 states/eV per cell

***

No. 7
Compound: TaHgS2
Source: Alexandria via LeMat-Bulk
Functional: GGA-PBE
Structure: optimized geometry

The structure in POSCAR format:
```
TaHgS2
1.0
9.2069 7.4836 -8.8053
-10.9313 -4.7653 8.7238
1.8209 1.2439 2.9611
Ta Hg S
2 2 4
direct
0.3093 0.6907 0.2500
0.6907 0.3093 0.7500
0.9575 0.0425 0.7500
0.0425 0.9575 0.2500
0.8700 0.1300 0.2500
0.2192 0.7808 0.2500
0.7808 0.2192 0.7500
0.1300 0.8700 0.7500
```

Results
- ΔE_f (raw): -0.52 eV per atom
- Space group: Cmcm (63)
- Fermi-level density of states: 5.1 states/eV per cell

***

No. 8
Compound: TaHgS2
Source: Alexandria via LeMat-Bulk
Functional: GGA-PBE
Structure: optimized geometry

The structure in POSCAR format:
```
TaHgS2
1.0
6.3132 0.0000 0.0000
0.0000 10.6082 0.0000
0.0000 0.0000 5.9224
Ta Hg S
4 4 8
direct
0.0720 0.3476 0.0731
0.9280 0.6524 0.5731
0.5720 0.1524 0.0731
0.4280 0.8476 0.5731
0.7557 0.2971 0.4494
0.2443 0.7029 0.9494
0.2557 0.2029 0.4494
0.7443 0.7971 0.9494
0.0901 0.8415 0.4217
0.9099 0.1585 0.9217
0.6116 0.9706 0.3056
0.1116 0.5294 0.3056
0.4099 0.3415 0.9217
0.8884 0.4706 0.8056
0.3884 0.0294 0.8056
0.5901 0.6585 0.4217
```

Results
- ΔE_f (raw): -0.41 eV per atom
- Space group: Pna2_1 (33)
- Fermi-level density of states: 12.4 states/eV per cell

***

No. 9
Compound: Ta2TiHg2S6
Source: Alexandria via LeMat-Bulk
Functional: GGA-PBE
Structure: optimized geometry

The structure in POSCAR format:
```
Ta2TiHg2S6
1.0
-5.7323 -1.0616 0.5289
3.7862 -4.4545 -0.2958
1.5314 2.0710 9.1536
S Ta Hg Ti
6 2 2 1
direct
0.7279 0.7279 0.6623
0.3891 0.0577 0.6625
0.0577 0.3891 0.6625
0.2721 0.2721 0.3377
0.9423 0.6109 0.3375
0.6109 0.9423 0.3375
0.6667 0.3333 0.5000
0.3333 0.6667 0.5000
0.1683 0.8317 0.0000
0.8317 0.1683 0.0000
0.0000 0.0000 0.5000
```

Results
- ΔE_f (raw): -0.91 eV per atom
- Space group: C2/m (12)
- Fermi-level density of states: 5.2 states/eV per cell

***

No. 10
Compound: TaTl2HgS4
Source: Alexandria via LeMat-Bulk
Functional: GGA-PBE
Structure: optimized geometry

The structure in POSCAR format:
```
TaTl2HgS4
1.0
-1.0403 -6.6644 0.8692
1.4318 1.2685 -6.5263
5.2315 2.0278 3.8433
Tl Ta Hg S
2 1 1 4
direct
0.5000 0.7500 0.2500
0.0000 0.0000 0.0000
0.0000 0.5000 0.5000
0.5000 0.2500 0.7500
0.3390 0.8479 0.8229
0.0250 0.1771 0.5161
0.9750 0.4911 0.1521
0.6610 0.4839 0.5089
```

Results
- ΔE_f (raw): -0.50 eV per atom
- Space group: I-4 (82)
- Fermi-level density of states: 3.8 states/eV per cell

***

No. 11
Compound: TaV2Hg2S6
Source: Alexandria via LeMat-Bulk
Functional: GGA-PBE
Structure: optimized geometry

The structure in POSCAR format:
```
TaV2Hg2S6
1.0
-3.9701 -4.0438 -0.7812
3.8743 1.1087 -4.0602
5.7012 -5.2059 5.4586
Ta S Hg V
1 6 2 2
direct
0.0000 0.0000 0.5000
0.7096 0.7096 0.6540
0.0608 0.4009 0.6627
0.5991 0.9392 0.3373
0.2904 0.2904 0.3460
0.9392 0.5991 0.3373
0.4009 0.0608 0.6627
0.1635 0.8365 0.0000
0.8365 0.1635 0.0000
0.3209 0.6791 0.5000
0.6791 0.3209 0.5000
```

Results
- ΔE_f (raw): -0.75 eV per atom
- Space group: C2/m (12)
- Fermi-level density of states: 5.3 states/eV per cell

***

No. 12
Compound: ZrTaHg2S
Source: Alexandria via LeMat-Bulk
Functional: GGA-PBE
Structure: optimized geometry

The structure in POSCAR format:
```
ZrTaHg2S
1.0
-1.8876 -3.1214 3.4481
3.2373 -3.0647 -1.0021
2.9974 2.0290 3.4777
Hg Ta Zr S
2 1 1 1
direct
0.5000 0.0000 0.0000
0.0000 0.0000 0.5000
0.0000 0.5000 0.0000
0.5000 0.5000 0.5000
0.0000 0.0000 0.0000
```

Results
- ΔE_f (raw): 0.74 eV per atom
- Space group: P4/mmm (123)
- Fermi-level density of states: 6.9 states/eV per cell

***

No. 13
Compound: TbHgS2
Source: Alexandria via LeMat-Bulk
Functional: GGA-PBE
Structure: optimized geometry

The structure in POSCAR format:
```
TbHgS2
1.0
-0.5708 -2.6300 -3.0281
0.3236 -3.9797 0.6855
-6.9143 -2.4935 0.7592
S Tb Hg
2 1 1
direct
0.2644 0.2644 0.2068
0.0707 0.0707 0.7878
0.6656 0.6656 0.0032
0.4993 0.4993 0.5022
```

Results
- Energy above the most stable polymorph in this dataset: 0 meV per atom
- ΔE_f (raw): -1.11 eV per atom
- Space group: R3m (160)
- Fermi-level density of states: 3.0 states/eV per cell

***

No. 14
Compound: TbHgS2
Source: Alexandria via LeMat-Bulk
Functional: GGA-PBE
Structure: optimized geometry

The structure in POSCAR format:
```
TbHgS2
1.0
4.0235 0.0000 0.0000
2.0118 3.4845 0.0000
2.0118 1.1615 8.0643
S Hg Tb
2 1 1
direct
0.8936 0.8936 0.3192
0.1064 0.1064 0.6808
0.5000 0.5000 0.5000
0.0000 0.0000 0.0000
```

Results
- Energy above the most stable polymorph in this dataset: 883 meV per atom
- ΔE_f (raw): -0.23 eV per atom
- Space group: R-3m (166)
- Fermi-level density of states: 3.6 states/eV per cell

***

No. 15
Compound: Tb6Hg2S3
Source: Alexandria via LeMat-Bulk
Functional: GGA-PBE
Structure: optimized geometry

The structure in POSCAR format:
```
Tb6Hg2S3
1.0
6.4708 0.0000 1.9612
3.2354 5.8525 0.9806
0.1244 0.0000 7.5972
Tb Hg S
6 2 3
direct
0.9135 0.6747 0.2253
0.7320 0.0000 0.7870
0.4118 0.6747 0.7747
0.2680 0.0000 0.2130
0.5882 0.3253 0.2253
0.0865 0.3253 0.7747
0.8393 0.3215 0.5000
0.1607 0.6785 0.5000
0.3270 0.3460 0.0000
0.0000 0.0000 0.0000
0.6730 0.6540 0.0000
```

Results
- ΔE_f (raw): -1.19 eV per atom
- Space group: C2/m (12)
- Fermi-level density of states: 6.2 states/eV per cell

***

No. 16
Compound: Tb2Hg2S
Source: Alexandria via LeMat-Bulk
Functional: GGA-PBE
Structure: optimized geometry

The structure in POSCAR format:
```
Tb2Hg2S
1.0
0.4900 -1.9613 3.2858
-1.4469 -3.5558 0.3581
9.0656 -3.8167 -1.3652
Hg Tb S
2 2 1
direct
0.5950 0.7019 0.1080
0.4050 0.2981 0.8920
0.7780 0.1104 0.3337
0.2220 0.8896 0.6663
0.0000 0.5000 0.5000
```

Results
- ΔE_f (raw): -0.98 eV per atom
- Space group: C2/m (12)
- Fermi-level density of states: 2.0 states/eV per cell

***

No. 17
Compound: Tb3HgS2
Source: Alexandria via LeMat-Bulk
Functional: GGA-PBE
Structure: optimized geometry

The structure in POSCAR format:
```
Tb3HgS2
1.0
-0.7258 0.8800 -4.5271
-5.0532 -3.7411 2.4902
-4.9625 8.3073 2.4104
Tb Hg S
6 2 4
direct
0.6355 0.2711 0.4461
0.3644 0.7289 0.5539
0.1041 0.2082 0.7500
0.8959 0.7918 0.2500
0.6355 0.2711 0.0539
0.3644 0.7289 0.9461
0.2298 0.4597 0.2500
0.7702 0.5403 0.7500
0.0000 0.0000 0.0000
0.5127 0.0253 0.7500
0.0000 0.0000 0.5000
0.4873 0.9747 0.2500
```

Results
- ΔE_f (raw): -1.25 eV per atom
- Space group: Cmcm (63)
- Fermi-level density of states: 7.2 states/eV per cell

***

No. 18
Compound: Tb3HgS
Source: Alexandria via LeMat-Bulk
Functional: GGA-PBE
Structure: optimized geometry

The structure in POSCAR format:
```
Tb3HgS
1.0
3.9124 0.0000 0.0000
0.0000 8.9639 0.0000
0.0000 0.0000 14.9497
Hg Tb S
4 12 4
direct
0.7500 0.0910 0.6852
0.7500 0.5910 0.8148
0.2500 0.9090 0.3148
0.2500 0.4090 0.1852
0.7500 0.3372 0.0281
0.2500 0.6628 0.9719
0.7500 0.8372 0.4719
0.7500 0.1858 0.2901
0.7500 0.9807 0.8921
0.2500 0.0193 0.1079
0.7500 0.4807 0.6079
0.2500 0.3142 0.7901
0.2500 0.1628 0.5281
0.2500 0.5193 0.3921
0.7500 0.6858 0.2099
0.2500 0.8142 0.7099
0.7500 0.8278 0.0505
0.2500 0.6722 0.5505
0.2500 0.1722 0.9495
0.7500 0.3278 0.4495
```

Results
- Energy above the most stable polymorph in this dataset: 0 meV per atom
- ΔE_f (raw): -1.01 eV per atom
- Space group: Pnma (62)
- Fermi-level density of states: 13.7 states/eV per cell

***

No. 19
Compound: Tb3HgS
Source: Alexandria via LeMat-Bulk
Functional: GGA-PBE
Structure: optimized geometry

The structure in POSCAR format:
```
Tb3HgS
1.0
5.1810 0.0000 0.0000
0.0000 5.1810 0.0000
0.0000 0.0000 5.1810
S Tb Hg
1 3 1
direct
0.0000 0.0000 0.0000
0.0000 0.5000 0.0000
0.5000 0.0000 0.0000
0.0000 0.0000 0.5000
0.5000 0.5000 0.5000
```

Results
- Energy above the most stable polymorph in this dataset: 206 meV per atom
- ΔE_f (raw): -0.80 eV per atom
- Space group: Pm-3m (221)
- Fermi-level density of states: 3.8 states/eV per cell

***

No. 20
Compound: Tb6HgS5
Source: Alexandria via LeMat-Bulk
Functional: GGA-PBE
Structure: optimized geometry

The structure in POSCAR format:
```
Tb6HgS5
1.0
6.8007 -0.0968 -1.2805
-3.6667 5.7284 -1.2805
0.1325 0.2380 6.8987
Hg Tb S
1 6 5
direct
0.0000 0.0000 0.0000
0.7391 0.7391 0.2556
0.5678 0.9144 0.7432
0.4322 0.0856 0.2568
0.9144 0.5678 0.7432
0.2609 0.2609 0.7444
0.0856 0.4322 0.2568
0.1639 0.8361 0.5000
0.3336 0.6664 0.0000
0.8361 0.1639 0.5000
0.5000 0.5000 0.5000
0.6664 0.3336 0.0000
```

Results
- ΔE_f (raw): -1.72 eV per atom
- Space group: C2/m (12)
- Fermi-level density of states: 4.1 states/eV per cell

***

No. 21
Compound: Tb4HgS3
Source: Alexandria via LeMat-Bulk
Functional: GGA-PBE
Structure: optimized geometry

The structure in POSCAR format:
```
Tb4HgS3
1.0
3.9569 0.0000 0.0000
0.0000 6.6666 -2.2402
0.0000 -0.0241 7.0329
Tb S Hg
4 3 1
direct
0.0000 0.7341 0.7341
0.5000 0.2572 0.7428
0.5000 0.7428 0.2572
0.0000 0.2659 0.2659
0.0000 0.5000 0.0000
0.5000 0.5000 0.5000
0.0000 0.0000 0.5000
0.5000 0.0000 0.0000
```

Results
- ΔE_f (raw): -1.56 eV per atom
- Space group: Cmmm (65)
- Fermi-level density of states: 3.1 states/eV per cell

***

No. 22
Compound: Tb5HgS4
Source: Alexandria via LeMat-Bulk
Functional: GGA-PBE
Structure: optimized geometry

The structure in POSCAR format:
```
Tb5HgS4
1.0
-1.1239 1.4819 -3.4783
-3.8769 -4.9157 -3.0780
-8.4672 2.6022 1.6081
Tb Hg S
5 1 4
direct
0.7963 0.0954 0.3119
0.3878 0.3323 0.8920
0.6122 0.6677 0.1080
0.2037 0.9046 0.6881
0.0000 0.5000 0.5000
0.0000 0.0000 0.0000
0.4024 0.7938 0.4014
0.7976 0.6141 0.7907
0.2024 0.3859 0.2093
0.5976 0.2062 0.5986
```

Results
- ΔE_f (raw): -1.67 eV per atom
- Space group: C2/m (12)
- Fermi-level density of states: 4.1 states/eV per cell